No. 1
Entry from Alexandria: an optimized crystal structure of HfPa2Sn (PBE-GGA).

Cell and atoms, written as CIF:
```
data_HfPa2Sn
_space_group_name_H-M_alt 'F m -3 m'
_space_group_IT_number 225
_space_group_name_Hall '-F 4 2 3'
_cell_length_a 7.3854
_cell_length_b 7.3854
_cell_length_c 7.3854
_cell_angle_alpha 90.00
_cell_angle_beta 90.00
_cell_angle_gamma 90.00
loop_
_atom_site_label
_atom_site_type_symbol
_atom_site_fract_x
_atom_site_fract_y
_atom_site_fract_z
_atom_site_occupancy
Hf1 Hf 0.0000 0.0000 0.0000 1
Pa1 Pa 0.2500 0.2500 0.2500 1
Sn1 Sn 0.0000 0.0000 0.5000 1
```

E_form, eV/atom: 0.18
VASP energy, eV per atom: -8.0534


No. 2
Entry from Alexandria: an optimized crystal structure of LuTiNiIr (PBE-GGA).

Cell and atoms, written as CIF:
```
data_LuTiNiIr
_space_group_name_H-M_alt 'F -4 3 m'
_space_group_IT_number 216
_space_group_name_Hall 'F -4 2 3'
_cell_length_a 6.4130
_cell_length_b 6.4130
_cell_length_c 6.4130
_cell_angle_alpha 90.00
_cell_angle_beta 90.00
_cell_angle_gamma 90.00
loop_
_atom_site_label
_atom_site_type_symbol
_atom_site_fract_x
_atom_site_fract_y
_atom_site_fract_z
_atom_site_occupancy
Lu1 Lu 0.0000 0.0000 0.0000 1
Ti1 Ti 0.0000 0.0000 0.5000 1
Ni1 Ni 0.2500 0.2500 0.2500 1
Ir1 Ir 0.2500 0.2500 0.7500 1
```

E_form, eV/atom: -0.60
VASP energy, eV per atom: -7.3622


No. 3
Entry from Alexandria: an optimized crystal structure of Li2PIr (PBE-GGA).

Cell and atoms, written as CIF:
```
data_Li2PIr
_space_group_name_H-M_alt 'P 4/m m m'
_space_group_IT_number 123
_space_group_name_Hall '-P 4 2'
_cell_length_a 3.5296
_cell_length_b 3.5296
_cell_length_c 4.0550
_cell_angle_alpha 90.00
_cell_angle_beta 90.00
_cell_angle_gamma 90.00
loop_
_atom_site_label
_atom_site_type_symbol
_atom_site_fract_x
_atom_site_fract_y
_atom_site_fract_z
_atom_site_occupancy
Li1 Li 0.0000 0.5000 0.0000 1
P1 P 0.0000 0.0000 0.5000 1
Ir1 Ir 0.5000 0.5000 0.5000 1
```

E_form, eV/atom: -0.39
VASP energy, eV per atom: -4.9167


No. 4
Entry from Alexandria: an optimized crystal structure of Pr2Nd3Ge2 (PBE-GGA).

Cell and atoms, written as CIF:
```
data_Pr2Nd3Ge2
_space_group_name_H-M_alt 'C 1 2/m 1'
_space_group_IT_number 12
_cell_length_a 12.1450
_cell_length_b 4.3236
_cell_length_c 8.6663
_cell_angle_alpha 90.00
_cell_angle_beta 110.89
_cell_angle_gamma 90.00
loop_
_space_group_symop_operation_xyz
'x,y,z'
'-x,-y,-z'
'-x,y,-z'
'x,-y,z'
'x+1/2,y+1/2,z'
'-x+1/2,-y+1/2,-z'
'-x+1/2,y+1/2,-z'
'x+1/2,-y+1/2,z'
loop_
_atom_site_label
_atom_site_type_symbol
_atom_site_fract_x
_atom_site_fract_y
_atom_site_fract_z
_atom_site_occupancy
Pr1 Pr 0.1507 0.0000 0.3073 1
Nd1 Nd 0.0000 0.5000 0.5000 1
Nd2 Nd 0.1307 0.5000 0.9436 1
Ge1 Ge 0.1701 0.0000 0.7038 1
```

E_form, eV/atom: -0.51
VASP energy, eV per atom: -5.2351


No. 5
Entry from Alexandria: an optimized crystal structure of Be2SbW (PBE-GGA).

Cell and atoms, written as CIF:
```
data_Be2SbW
_space_group_name_H-M_alt 'C m m 2'
_space_group_IT_number 35
_cell_length_a 3.7788
_cell_length_b 4.2995
_cell_length_c 8.0830
_cell_angle_alpha 90.00
_cell_angle_beta 90.00
_cell_angle_gamma 90.00
loop_
_space_group_symop_operation_xyz
'x,y,z'
'-x,-y,z'
'-x,y,z'
'x,-y,z'
'x+1/2,y+1/2,z'
'-x+1/2,-y+1/2,z'
'-x+1/2,y+1/2,z'
'x+1/2,-y+1/2,z'
loop_
_atom_site_label
_atom_site_type_symbol
_atom_site_fract_x
_atom_site_fract_y
_atom_site_fract_z
_atom_site_occupancy
Be1 Be 0.0000 0.0000 0.0000 1
Be2 Be 0.0000 0.5000 0.1179 1
Sb1 Sb 0.0000 0.5000 0.6020 1
W1 W 0.0000 0.0000 0.3161 1
```

E_form (uncorrected), eV per atom: 0.66
VASP energy, eV per atom: -5.4704


No. 6
Entry from Alexandria: an optimized crystal structure of NpI2F (PBE-GGA).

Cell and atoms, written as CIF:
```
data_NpI2F
_space_group_name_H-M_alt 'C 1 m 1'
_space_group_IT_number 8
_cell_length_a 7.3521
_cell_length_b 4.2322
_cell_length_c 8.7207
_cell_angle_alpha 90.00
_cell_angle_beta 105.67
_cell_angle_gamma 90.00
loop_
_space_group_symop_operation_xyz
'x,y,z'
'x,-y,z'
'x+1/2,y+1/2,z'
'x+1/2,-y+1/2,z'
loop_
_atom_site_label
_atom_site_type_symbol
_atom_site_fract_x
_atom_site_fract_y
_atom_site_fract_z
_atom_site_occupancy
Np1 Np 0.0000 0.0000 0.0000 1
I1 I 0.2483 0.0000 0.7377 1
I2 I 0.4160 0.0000 0.2616 1
F1 F 0.1648 0.5000 0.9976 1
```

E_form (uncorrected), eV per atom: -1.75
VASP energy, eV per atom: -6.2267


No. 7
Entry from Alexandria: an optimized crystal structure of KSrCrIn2 (PBE-GGA).

Cell and atoms, written as CIF:
```
data_KSrCrIn2
_space_group_name_H-M_alt 'P 4/m m m'
_space_group_IT_number 123
_space_group_name_Hall '-P 4 2'
_cell_length_a 6.1831
_cell_length_b 6.1831
_cell_length_c 6.6459
_cell_angle_alpha 90.00
_cell_angle_beta 90.00
_cell_angle_gamma 90.00
loop_
_atom_site_label
_atom_site_type_symbol
_atom_site_fract_x
_atom_site_fract_y
_atom_site_fract_z
_atom_site_occupancy
K1 K 0.0000 0.0000 0.0000 1
Sr1 Sr 0.0000 0.0000 0.5000 1
Cr1 Cr 0.5000 0.5000 0.0000 1
In1 In 0.0000 0.5000 0.5000 1
```

E_form, eV/atom: 1.12
VASP energy, eV per atom: -2.4585


No. 8
Entry from Alexandria: an optimized crystal structure of Ni2MoCl (PBE-GGA).

Cell and atoms, written as CIF:
```
data_Ni2MoCl
_space_group_name_H-M_alt 'I m m 2'
_space_group_IT_number 44
_cell_length_a 2.7588
_cell_length_b 3.8238
_cell_length_c 12.4889
_cell_angle_alpha 90.00
_cell_angle_beta 90.00
_cell_angle_gamma 90.00
loop_
_space_group_symop_operation_xyz
'x,y,z'
'-x,-y,z'
'-x,y,z'
'x,-y,z'
'x+1/2,y+1/2,z+1/2'
'-x+1/2,-y+1/2,z+1/2'
'-x+1/2,y+1/2,z+1/2'
'x+1/2,-y+1/2,z+1/2'
loop_
_atom_site_label
_atom_site_type_symbol
_atom_site_fract_x
_atom_site_fract_y
_atom_site_fract_z
_atom_site_occupancy
Ni1 Ni 0.0000 0.0000 0.0000 1
Ni2 Ni 0.0000 0.5000 0.1097 1
Mo1 Mo 0.0000 0.0000 0.4283 1
Cl1 Cl 0.0000 0.5000 0.7655 1
```

E_form (uncorrected), eV per atom: 0.32
VASP energy, eV per atom: -5.7441


No. 9
Entry from Alexandria: an optimized crystal structure of CsScBeSb2 (PBE-GGA).

Cell and atoms, written as CIF:
```
data_CsScBeSb2
_space_group_name_H-M_alt 'P 4/m m m'
_space_group_IT_number 123
_space_group_name_Hall '-P 4 2'
_cell_length_a 6.0985
_cell_length_b 6.0985
_cell_length_c 5.6819
_cell_angle_alpha 90.00
_cell_angle_beta 90.00
_cell_angle_gamma 90.00
loop_
_atom_site_label
_atom_site_type_symbol
_atom_site_fract_x
_atom_site_fract_y
_atom_site_fract_z
_atom_site_occupancy
Cs1 Cs 0.0000 0.0000 0.0000 1
Sc1 Sc 0.0000 0.0000 0.5000 1
Be1 Be 0.5000 0.5000 0.5000 1
Sb1 Sb 0.0000 0.5000 0.0000 1
```

E_form (uncorrected), eV per atom: 2.01
VASP energy, eV per atom: -1.8244


No. 10
Entry from Alexandria: an optimized crystal structure of KCr2Fe (PBE-GGA).

Cell and atoms, written as CIF:
```
data_KCr2Fe
_space_group_name_H-M_alt 'C 1 2/m 1'
_space_group_IT_number 12
_cell_length_a 8.5666
_cell_length_b 2.8486
_cell_length_c 6.8493
_cell_angle_alpha 90.00
_cell_angle_beta 93.73
_cell_angle_gamma 90.00
loop_
_space_group_symop_operation_xyz
'x,y,z'
'-x,-y,-z'
'-x,y,-z'
'x,-y,z'
'x+1/2,y+1/2,z'
'-x+1/2,-y+1/2,-z'
'-x+1/2,y+1/2,-z'
'x+1/2,-y+1/2,z'
loop_
_atom_site_label
_atom_site_type_symbol
_atom_site_fract_x
_atom_site_fract_y
_atom_site_fract_z
_atom_site_occupancy
K1 K 0.0000 0.0000 0.0000 1
Cr1 Cr 0.2286 0.0000 0.6066 1
Fe1 Fe 0.0000 0.5000 0.5000 1
```

E_form, eV/atom: 0.93
VASP energy, eV per atom: -6.2696


No. 11
Entry from Alexandria: an optimized crystal structure of La3TmSe6 (PBE-GGA).

Cell and atoms, written as CIF:
```
data_La3TmSe6
_space_group_name_H-M_alt 'P 1 21/c 1'
_space_group_IT_number 14
_cell_length_a 7.1295
_cell_length_b 7.8304
_cell_length_c 12.6579
_cell_angle_alpha 90.00
_cell_angle_beta 122.57
_cell_angle_gamma 90.00
loop_
_space_group_symop_operation_xyz
'x,y,z'
'-x,-y,-z'
'-x,y+1/2,-z+1/2'
'x,-y+1/2,z+1/2'
loop_
_atom_site_label
_atom_site_type_symbol
_atom_site_fract_x
_atom_site_fract_y
_atom_site_fract_z
_atom_site_occupancy
La1 La 0.0000 0.0000 0.0000 1
La2 La 0.2955 0.0986 0.7546 1
Tm1 Tm 0.5000 0.0000 0.5000 1
Se1 Se 0.1065 0.0592 0.2601 1
Se2 Se 0.2625 0.6799 0.0790 1
Se3 Se 0.4090 0.1900 0.0760 1
```

E_form (uncorrected), eV per atom: -1.95
VASP energy, eV per atom: -5.9691


No. 12
Entry from Alexandria: an optimized crystal structure of BaCdS2Cl (PBE-GGA).

Cell and atoms, written as CIF:
```
data_BaCdS2Cl
_space_group_name_H-M_alt 'P 4/m m m'
_space_group_IT_number 123
_space_group_name_Hall '-P 4 2'
_cell_length_a 6.3007
_cell_length_b 6.3007
_cell_length_c 5.9271
_cell_angle_alpha 90.00
_cell_angle_beta 90.00
_cell_angle_gamma 90.00
loop_
_atom_site_label
_atom_site_type_symbol
_atom_site_fract_x
_atom_site_fract_y
_atom_site_fract_z
_atom_site_occupancy
Ba1 Ba 0.0000 0.0000 0.0000 1
Cd1 Cd 0.5000 0.5000 0.5000 1
S1 S 0.0000 0.5000 0.0000 1
Cl1 Cl 0.0000 0.0000 0.5000 1
```

E_form (uncorrected), eV per atom: -0.21
VASP energy, eV per atom: -2.7941


No. 13
Entry from Alexandria: an optimized crystal structure of PtIBrO2 (PBE-GGA).

Cell and atoms, written as CIF:
```
data_PtIBrO2
_space_group_name_H-M_alt 'P 4/m m m'
_space_group_IT_number 123
_space_group_name_Hall '-P 4 2'
_cell_length_a 3.8429
_cell_length_b 3.8429
_cell_length_c 8.1419
_cell_angle_alpha 90.00
_cell_angle_beta 90.00
_cell_angle_gamma 90.00
loop_
_atom_site_label
_atom_site_type_symbol
_atom_site_fract_x
_atom_site_fract_y
_atom_site_fract_z
_atom_site_occupancy
Pt1 Pt 0.0000 0.0000 0.0000 1
I1 I 0.5000 0.5000 0.0000 1
Br1 Br 0.5000 0.5000 0.5000 1
O1 O 0.0000 0.5000 0.5000 1
```

E_form (uncorrected), eV per atom: 0.65
VASP energy, eV per atom: -3.1849